(1)
VASP calculation (PBE) on crystalline Sm2AlRh3 at its relaxed geometry.

Cell lengths 5.154, 5.154, 5.154 Å; angles 67.15, 67.15, 67.15 degrees
Atoms (fractional coordinates):
Sm (0.130, 0.130, 0.130)
Sm (0.870, 0.870, 0.870)
Al (0.500, 0.500, 0.500)
Rh (0.000, 0.500, 0.500)
Rh (0.500, 0.000, 0.500)
Rh (0.500, 0.500, 0.000)

Total magnetic moment, μB per formula unit: 0.0
Final energy, eV/atom: -6.736
Symmetry: R-3m (166)
Formation enthalpy at 0 K, eV per atom: -0.863

=====

(2)
VASP calculation (PBE) on crystalline Sm2Al5Rh3 at its relaxed geometry.

Cell lengths 8.632, 8.632, 8.632 Å; angles 108.56, 84.37, 141.25 degrees
Atoms (fractional coordinates):
Sm (0.144, 0.224, 0.367)
Sm (0.356, 0.724, 0.080)
Sm (0.644, 0.276, 0.920)
Sm (0.856, 0.776, 0.633)
Al (0.046, 0.750, 0.296)
Al (0.085, 0.675, 0.760)
Al (0.250, 0.250, 0.000)
Al (0.415, 0.175, 0.590)
Al (0.454, 0.750, 0.704)
Al (0.546, 0.250, 0.296)
Al (0.585, 0.825, 0.410)
Al (0.750, 0.750, 0.000)
Al (0.915, 0.325, 0.240)
Al (0.954, 0.250, 0.704)
Rh (0.148, 0.910, 0.058)
Rh (0.250, 0.750, 0.500)
Rh (0.352, 0.410, 0.762)
Rh (0.648, 0.590, 0.238)
Rh (0.750, 0.250, 0.500)
Rh (0.852, 0.090, 0.942)

Total magnetic moment, μB per formula unit: 0.0
Final energy, eV/atom: -5.859
Symmetry: Ibam (72)
Formation enthalpy at 0 K, eV per atom: -0.838

=====

(3)
VASP calculation (PBE) on crystalline Sm3Al7Rh4 at its relaxed geometry.

Cell lengths 8.032, 8.032, 9.531 Å; angles 123.38, 123.38, 30.95 degrees
Atoms (fractional coordinates):
Sm (0.000, 0.000, 0.000)
Sm (0.308, 0.308, 0.302)
Sm (0.692, 0.692, 0.698)
Al (0.000, 0.000, 0.500)
Al (0.154, 0.154, 0.420)
Al (0.316, 0.316, 0.977)
Al (0.495, 0.495, 0.707)
Al (0.505, 0.505, 0.293)
Al (0.684, 0.684, 0.023)
Al (0.846, 0.846, 0.580)
Rh (0.109, 0.109, 0.834)
Rh (0.337, 0.337, 0.713)
Rh (0.663, 0.663, 0.287)
Rh (0.891, 0.891, 0.166)

Total magnetic moment, μB per formula unit: 0.0
Final energy, eV/atom: -5.780
Symmetry: C2/m (12)
Formation enthalpy at 0 K, eV per atom: -0.797